<one>
## Y2Mg2Cu (GGA-PBE)

Data for an optimized crystal structure of Y2Mg2Cu.

Cell and atoms, written as CIF:
```
data_Y2Mg2Cu
_cell_length_a 5.024
_cell_length_b 8.581
_cell_length_c 6.424
_cell_angle_alpha 90.00
_cell_angle_beta 90.00
_cell_angle_gamma 90.00
_space_group_name_H-M_alt 'C m m m'
_space_group_IT_number 65
_space_group_name_Hall '-C 2 2'
loop_
_atom_site_label
_atom_site_fract_x
_atom_site_fract_y
_atom_site_fract_z
Y1 0.000 0.000 0.246
Mg1 0.000 0.335 0.500
Cu1 0.000 0.500 0.000
```

DOS at the Fermi energy = 0.630 states/eV per atom

<two>
## Y2Mg2Cu (GGA-PBE)

Data for an optimized crystal structure of Y2Mg2Cu.

Cell and atoms, written as CIF:
```
data_Y2Mg2Cu
_cell_length_a 8.765
_cell_length_b 5.067
_cell_length_c 6.140
_cell_angle_alpha 90.00
_cell_angle_beta 118.52
_cell_angle_gamma 90.00
_space_group_name_H-M_alt 'C 1 2/m 1'
_space_group_IT_number 12
_space_group_name_Hall '-C 2y'
loop_
_atom_site_label
_atom_site_fract_x
_atom_site_fract_y
_atom_site_fract_z
Y1 0.109 0.000 0.328
Mg1 0.172 0.500 0.014
Cu1 0.000 0.500 0.500
```

DOS at the Fermi energy = 0.879 states/eV per atom

Energy ordering: <two> at the bottom, the next structure 0.337 eV/atom above.

<one>
## Y2Mg4Cu (GGA-PBE)

Data for an optimized crystal structure of Y2Mg4Cu.

Cell and atoms, written as CIF:
```
data_Y2Mg4Cu
_cell_length_a 9.813
_cell_length_b 9.813
_cell_length_c 5.644
_cell_angle_alpha 90.00
_cell_angle_beta 90.00
_cell_angle_gamma 90.00
_space_group_name_H-M_alt 'I 4/m m m'
_space_group_IT_number 139
_space_group_name_Hall '-I 4 2'
loop_
_atom_site_label
_atom_site_fract_x
_atom_site_fract_y
_atom_site_fract_z
Y1 0.000 0.500 0.250
Mg1 0.000 0.206 0.000
Cu1 0.000 0.000 0.500
```

DOS at the Fermi energy = 1.045 states/eV per atom

<two>
## Y2Mg4Cu (GGA-PBE)

Data for an optimized crystal structure of Y2Mg4Cu.

Cell and atoms, written as CIF:
```
data_Y2Mg4Cu
_cell_length_a 9.140
_cell_length_b 9.159
_cell_length_c 16.639
_cell_angle_alpha 90.00
_cell_angle_beta 90.00
_cell_angle_gamma 90.00
_space_group_name_H-M_alt 'F m m m'
_space_group_IT_number 69
_space_group_name_Hall '-F 2 2'
loop_
_atom_site_label
_atom_site_fract_x
_atom_site_fract_y
_atom_site_fract_z
Y1 0.000 0.162 0.000
Y2 0.162 0.000 0.500
Mg1 0.000 0.166 0.330
Mg2 0.166 0.000 0.170
Cu1 0.250 0.250 0.250
```

DOS at the Fermi energy = 0.662 states/eV per atom

Energy ordering: <two> at the bottom, the next structure 0.944 eV/atom above.

<one>
## Y2Mg4Cu (GGA-PBE)

Data for an optimized crystal structure of Y2Mg4Cu.

Cell and atoms, written as CIF:
```
data_Y2Mg4Cu
_cell_length_a 4.803
_cell_length_b 4.803
_cell_length_c 15.925
_cell_angle_alpha 90.00
_cell_angle_beta 90.00
_cell_angle_gamma 90.00
_space_group_name_H-M_alt 'I 4/m m m'
_space_group_IT_number 139
_space_group_name_Hall '-I 4 2'
loop_
_atom_site_label
_atom_site_fract_x
_atom_site_fract_y
_atom_site_fract_z
Y1 0.000 0.000 0.141
Mg1 0.000 0.000 0.341
Mg2 0.000 0.500 0.000
Cu1 0.000 0.000 0.500
```

DOS at the Fermi energy = 0.958 states/eV per atom

<two>
## Y2Mg4Cu (GGA-PBE)

Data for an optimized crystal structure of Y2Mg4Cu.

Cell and atoms, written as CIF:
```
data_Y2Mg4Cu
_cell_length_a 7.456
_cell_length_b 7.456
_cell_length_c 6.883
_cell_angle_alpha 90.00
_cell_angle_beta 90.00
_cell_angle_gamma 90.00
_space_group_name_H-M_alt 'I 4/m m m'
_space_group_IT_number 139
_space_group_name_Hall '-I 4 2'
loop_
_atom_site_label
_atom_site_fract_x
_atom_site_fract_y
_atom_site_fract_z
Y1 0.000 0.500 0.250
Mg1 0.212 0.212 0.000
Cu1 0.000 0.000 0.500
```

DOS at the Fermi energy = 1.175 states/eV per atom

Energy ordering: <one> at the bottom, the next structure 0.132 eV/atom above.

<one>
## Y2MgCu2 (GGA-PBE)

Data for an optimized crystal structure of Y2MgCu2.

Cell and atoms, written as CIF:
```
data_Y2MgCu2
_cell_length_a 10.090
_cell_length_b 5.504
_cell_length_c 8.094
_cell_angle_alpha 90.00
_cell_angle_beta 105.21
_cell_angle_gamma 90.00
_space_group_name_H-M_alt 'C 1 2/c 1'
_space_group_IT_number 15
_space_group_name_Hall '-C 2yc'
loop_
_atom_site_label
_atom_site_fract_x
_atom_site_fract_y
_atom_site_fract_z
Y1 0.147 0.163 0.147
Mg1 0.000 0.341 0.750
Cu1 0.141 0.345 0.500
```

DOS at the Fermi energy = 0.767 states/eV per atom

<two>
## Y2MgCu2 (GGA-PBE)

Data for an optimized crystal structure of Y2MgCu2.

Cell and atoms, written as CIF:
```
data_Y2MgCu2
_cell_length_a 3.579
_cell_length_b 18.633
_cell_length_c 6.598
_cell_angle_alpha 90.00
_cell_angle_beta 90.00
_cell_angle_gamma 90.00
_space_group_name_H-M_alt 'C m c 21'
_space_group_IT_number 36
_space_group_name_Hall 'C 2c -2'
loop_
_atom_site_label
_atom_site_fract_x
_atom_site_fract_y
_atom_site_fract_z
Y1 0.000 0.093 0.000
Y2 0.000 0.275 0.187
Mg1 0.000 0.081 0.506
Cu1 0.000 0.343 0.778
Cu2 0.000 0.498 0.752
```

DOS at the Fermi energy = 0.929 states/eV per atom

Energy ordering: <one> at the bottom, the next structure 0.078 eV/atom above.

<one>
## Y3Mg2Cu2 (GGA-PBE)

Data for an optimized crystal structure of Y3Mg2Cu2.

Cell and atoms, written as CIF:
```
data_Y3Mg2Cu2
_cell_length_a 3.908
_cell_length_b 23.748
_cell_length_c 3.596
_cell_angle_alpha 90.00
_cell_angle_beta 90.00
_cell_angle_gamma 90.00
_space_group_name_H-M_alt 'C m m m'
_space_group_IT_number 65
_space_group_name_Hall '-C 2 2'
loop_
_atom_site_label
_atom_site_fract_x
_atom_site_fract_y
_atom_site_fract_z
Y1 0.000 0.000 0.000
Y2 0.000 0.402 0.500
Mg1 0.000 0.189 0.000
Cu1 0.000 0.281 0.500
```

DOS at the Fermi energy = 0.832 states/eV per atom

<two>
## Y3Mg2Cu2 (GGA-PBE)

Data for an optimized crystal structure of Y3Mg2Cu2.

Cell and atoms, written as CIF:
```
data_Y3Mg2Cu2
_cell_length_a 16.668
_cell_length_b 3.779
_cell_length_c 11.237
_cell_angle_alpha 90.00
_cell_angle_beta 107.39
_cell_angle_gamma 90.00
_space_group_name_H-M_alt 'C 1 2/m 1'
_space_group_IT_number 12
_space_group_name_Hall '-C 2y'
loop_
_atom_site_label
_atom_site_fract_x
_atom_site_fract_y
_atom_site_fract_z
Y1 0.075 0.000 0.420
Y2 0.124 0.500 0.181
Y3 0.210 0.500 0.872
Mg1 0.056 0.000 0.912
Mg2 0.232 0.500 0.602
Cu1 0.035 0.500 0.727
Cu2 0.125 0.000 0.687
```

DOS at the Fermi energy = 0.938 states/eV per atom

Energy ordering: <two> at the bottom, the next structure 0.014 eV/atom above.

<one>
## Y3Mg2Cu2 (GGA-PBE)

Data for an optimized crystal structure of Y3Mg2Cu2.

Cell and atoms, written as CIF:
```
data_Y3Mg2Cu2
_cell_length_a 16.855
_cell_length_b 3.480
_cell_length_c 14.177
_cell_angle_alpha 90.00
_cell_angle_beta 125.11
_cell_angle_gamma 90.00
_space_group_name_H-M_alt 'C 1 2/m 1'
_space_group_IT_number 12
_space_group_name_Hall '-C 2y'
loop_
_atom_site_label
_atom_site_fract_x
_atom_site_fract_y
_atom_site_fract_z
Y1 0.131 0.000 0.106
Y2 0.162 0.000 0.879
Y3 0.187 0.500 0.543
Mg1 0.052 0.500 0.634
Mg2 0.072 0.000 0.293
Cu1 0.028 0.500 0.902
Cu2 0.212 0.000 0.717
```

DOS at the Fermi energy = 0.778 states/eV per atom

<two>
## Y3Mg2Cu2 (GGA-PBE)

Data for an optimized crystal structure of Y3Mg2Cu2.

Cell and atoms, written as CIF:
```
data_Y3Mg2Cu2
_cell_length_a 3.404
_cell_length_b 29.094
_cell_length_c 3.381
_cell_angle_alpha 90.00
_cell_angle_beta 90.00
_cell_angle_gamma 90.00
_space_group_name_H-M_alt 'C m m m'
_space_group_IT_number 65
_space_group_name_Hall '-C 2 2'
loop_
_atom_site_label
_atom_site_fract_x
_atom_site_fract_y
_atom_site_fract_z
Y1 0.000 0.000 0.000
Y2 0.000 0.406 0.500
Mg1 0.000 0.295 0.500
Cu1 0.000 0.155 0.000
```

DOS at the Fermi energy = 0.734 states/eV per atom

Energy ordering: <two> at the bottom, the next structure 0.010 eV/atom above.

<one>
## Y4MgCu2 (GGA-PBE)

Data for an optimized crystal structure of Y4MgCu2.

Cell and atoms, written as CIF:
```
data_Y4MgCu2
_cell_length_a 7.441
_cell_length_b 7.441
_cell_length_c 6.136
_cell_angle_alpha 90.00
_cell_angle_beta 90.00
_cell_angle_gamma 90.00
_space_group_name_H-M_alt 'I 4/m m m'
_space_group_IT_number 139
_space_group_name_Hall '-I 4 2'
loop_
_atom_site_label
_atom_site_fract_x
_atom_site_fract_y
_atom_site_fract_z
Y1 0.211 0.211 0.000
Mg1 0.000 0.000 0.500
Cu1 0.000 0.500 0.250
```

DOS at the Fermi energy = 0.504 states/eV per atom

<two>
## Y4MgCu2 (GGA-PBE)

Data for an optimized crystal structure of Y4MgCu2.

Cell and atoms, written as CIF:
```
data_Y4MgCu2
_cell_length_a 5.530
_cell_length_b 5.530
_cell_length_c 13.655
_cell_angle_alpha 90.00
_cell_angle_beta 90.00
_cell_angle_gamma 90.00
_space_group_name_H-M_alt 'I 4/m m m'
_space_group_IT_number 139
_space_group_name_Hall '-I 4 2'
loop_
_atom_site_label
_atom_site_fract_x
_atom_site_fract_y
_atom_site_fract_z
Y1 0.000 0.000 0.216
Y2 0.000 0.500 0.000
Mg1 0.000 0.000 0.000
Cu1 0.000 0.000 0.412
```

DOS at the Fermi energy = 1.776 states/eV per atom

<three>
## Y4MgCu2 (GGA-PBE)

Data for an optimized crystal structure of Y4MgCu2.

Cell and atoms, written as CIF:
```
data_Y4MgCu2
_cell_length_a 4.9908
_cell_length_b 4.9908
_cell_length_c 25.7506
_cell_angle_alpha 90.00
_cell_angle_beta 90.00
_cell_angle_gamma 120.00
_space_group_name_H-M_alt 'R -3 m'
_space_group_IT_number 166
_space_group_name_Hall '-R 3 2"'
loop_
_atom_site_label
_atom_site_fract_x
_atom_site_fract_y
_atom_site_fract_z
Y1 0.0000 0.0000 0.1159
Y2 0.0000 0.0000 0.2930
Mg1 0.0000 0.0000 0.5000
Cu1 0.0000 0.0000 0.4024
```

DOS at the Fermi energy = 1.117 states/eV per atom

<four>
## Y4MgCu2 (GGA-PBE)

Data for an optimized crystal structure of Y4MgCu2.

Cell and atoms, written as CIF:
```
data_Y4MgCu2
_cell_length_a 10.099
_cell_length_b 10.099
_cell_length_c 4.357
_cell_angle_alpha 90.00
_cell_angle_beta 90.00
_cell_angle_gamma 90.00
_space_group_name_H-M_alt 'I 4/m m m'
_space_group_IT_number 139
_space_group_name_Hall '-I 4 2'
loop_
_atom_site_label
_atom_site_fract_x
_atom_site_fract_y
_atom_site_fract_z
Y1 0.000 0.257 0.000
Mg1 0.000 0.000 0.500
Cu1 0.000 0.500 0.250
```

DOS at the Fermi energy = 1.383 states/eV per atom

Energy ordering: <three> at the bottom, the next structure 0.078 eV/atom above.

<one>
## Y4MgCu2 (GGA-PBE)

Data for an optimized crystal structure of Y4MgCu2.

Cell and atoms, written as CIF:
```
data_Y4MgCu2
_cell_length_a 5.0362
_cell_length_b 5.0362
_cell_length_c 23.7402
_cell_angle_alpha 90.00
_cell_angle_beta 90.00
_cell_angle_gamma 120.00
_space_group_name_H-M_alt 'R -3 m'
_space_group_IT_number 166
_space_group_name_Hall '-R 3 2"'
loop_
_atom_site_label
_atom_site_fract_x
_atom_site_fract_y
_atom_site_fract_z
Y1 0.0000 0.0000 0.1132
Y2 0.0000 0.0000 0.3657
Mg1 0.0000 0.0000 0.5000
Cu1 0.0000 0.0000 0.2421
```

DOS at the Fermi energy = 0.903 states/eV per atom

<two>
## Y4MgCu2 (GGA-PBE)

Data for an optimized crystal structure of Y4MgCu2.

Cell and atoms, written as CIF:
```
data_Y4MgCu2
_cell_length_a 7.752
_cell_length_b 7.752
_cell_length_c 13.077
_cell_angle_alpha 90.00
_cell_angle_beta 90.00
_cell_angle_gamma 90.00
_space_group_name_H-M_alt 'I 4/m c m'
_space_group_IT_number 140
_space_group_name_Hall '-I 4 2c'
loop_
_atom_site_label
_atom_site_fract_x
_atom_site_fract_y
_atom_site_fract_z
Y1 0.161 0.339 0.139
Mg1 0.000 0.000 0.250
Cu1 0.123 0.377 0.500
```

DOS at the Fermi energy = 1.090 states/eV per atom

Energy ordering: <one> at the bottom, the next structure 0.133 eV/atom above.

<one>
## Y3Mg3Cu (GGA-PBE)

Data for an optimized crystal structure of Y3Mg3Cu.

Cell and atoms, written as CIF:
```
data_Y3Mg3Cu
_cell_length_a 9.0955
_cell_length_b 9.0955
_cell_length_c 4.8890
_cell_angle_alpha 90.00
_cell_angle_beta 90.00
_cell_angle_gamma 120.00
_space_group_name_H-M_alt 'P 63/m m c'
_space_group_IT_number 194
_space_group_name_Hall '-P 6c 2c'
loop_
_atom_site_label
_atom_site_fract_x
_atom_site_fract_y
_atom_site_fract_z
Y1 0.1518 0.3037 0.2500
Mg1 0.1163 0.5582 0.7500
Cu1 0.3333 0.6667 0.2500
```

DOS at the Fermi energy = 0.538 states/eV per atom

<two>
## Y3Mg3Cu (GGA-PBE)

Data for an optimized crystal structure of Y3Mg3Cu.

Cell and atoms, written as CIF:
```
data_Y3Mg3Cu
_cell_length_a 8.8982
_cell_length_b 8.8982
_cell_length_c 5.0963
_cell_angle_alpha 90.00
_cell_angle_beta 90.00
_cell_angle_gamma 120.00
_space_group_name_H-M_alt 'P 63/m'
_space_group_IT_number 176
_space_group_name_Hall '-P 6c'
loop_
_atom_site_label
_atom_site_fract_x
_atom_site_fract_y
_atom_site_fract_z
Y1 0.1008 0.4686 0.2500
Mg1 0.0522 0.2330 0.7500
Cu1 0.3333 0.6667 0.7500
```

DOS at the Fermi energy = 0.877 states/eV per atom

Energy ordering: <one> at the bottom, the next structure 0.072 eV/atom above.

<one>
## Y3Mg2Cu (GGA-PBE)

Data for an optimized crystal structure of Y3Mg2Cu.

Cell and atoms, written as CIF:
```
data_Y3Mg2Cu
_cell_length_a 7.415
_cell_length_b 14.625
_cell_length_c 5.788
_cell_angle_alpha 90.00
_cell_angle_beta 90.00
_cell_angle_gamma 90.00
_space_group_name_H-M_alt 'C m c m'
_space_group_IT_number 63
_space_group_name_Hall '-C 2c 2'
loop_
_atom_site_label
_atom_site_fract_x
_atom_site_fract_y
_atom_site_fract_z
Y1 0.000 0.101 0.250
Y2 0.248 0.307 0.250
Mg1 0.181 0.500 0.000
Cu1 0.000 0.352 0.750
```

DOS at the Fermi energy = 1.056 states/eV per atom

<two>
## Y3Mg2Cu (GGA-PBE)

Data for an optimized crystal structure of Y3Mg2Cu.

Cell and atoms, written as CIF:
```
data_Y3Mg2Cu
_cell_length_a 6.8079
_cell_length_b 6.8079
_cell_length_c 8.2581
_cell_angle_alpha 90.00
_cell_angle_beta 90.00
_cell_angle_gamma 120.00
_space_group_name_H-M_alt 'P 63/m m c'
_space_group_IT_number 194
_space_group_name_Hall '-P 6c 2c'
loop_
_atom_site_label
_atom_site_fract_x
_atom_site_fract_y
_atom_site_fract_z
Y1 0.1681 0.3362 0.2500
Mg1 0.3333 0.6667 0.5753
Cu1 0.0000 0.0000 0.0000
```

DOS at the Fermi energy = 1.177 states/eV per atom

Energy ordering: <two> at the bottom, the next structure 0.035 eV/atom above.